Material: AlCrAu2F
Method: DFT, PBE+U
State: optimized geometry Values from VASP.

- Raw total energy: -18.626 eV/f.u.
- Density of states at the Fermi level: 2.4 states/eV/cell

Cell and atoms, written as Quantum ESPRESSO input:
```
&SYSTEM
  ibrav = 0, nat = 5, ntyp = 4
/
ATOMIC_SPECIES
Al 26.98 Al.upf
Cr 52.00 Cr.upf
Au 196.97 Au.upf
F 19.00 F.upf
CELL_PARAMETERS angstrom
4.7319 0.0000 0.0000
0.0000 4.7319 0.0000
0.0000 0.0000 5.4061
ATOMIC_POSITIONS crystal
Al 0.0000 0.0000 0.0000
Cr 0.0000 0.0000 0.5000
Au 0.0000 0.5000 0.0000
Au 0.5000 0.0000 0.0000
F 0.5000 0.5000 0.5000
```